# 1
Co5Sb: relaxed, PBE.

Output
- Magnetic moment: 7.10 μB/f.u.
- Density: 9.15 g/cm³
- ΔE_f (raw): 0.18 eV/atom
- Uncorrected energy: -6.43 eV per atom

a b c (Å): 6.7379 6.7379 4.0453
angles (deg): 90.00 90.00 155.69
Last column: nearest neighbours and their distance in Å.
Positions (direct):
Sb (0.1146, 0.8854, 0.5000)  10 Co 2.58-2.74, 2 Sb 2.84
Co (0.6724, 0.3276, 0.0000)  4 Co 2.51-2.57, 4 Sb 2.58
Co (0.4383, 0.5617, 0.5000)  8 Co 2.39-2.55
Co (0.9853, 0.0147, 0.0000)  6 Co 2.49-2.55, 2 Sb 2.64
Co (0.7927, 0.2073, 0.5000)  8 Co 2.39-2.57
Co (0.3300, 0.6700, 0.0000)  10 Co 2.48-2.52

***

# 2
Sc2CoSb: relaxed, PBE.

Output
- Magnetic moment: 0.64 μB/f.u.
- Density: 5.89 g/cm³
- ΔE_f (raw): -0.39 eV/atom
- Uncorrected energy: -6.36 eV per atom

a b c (Å): 4.7599 4.7599 4.7599
angles (deg): 60.00 60.00 60.00
Last column: nearest neighbours and their distance in Å.
Positions (direct):
Sc (0.2500, 0.2500, 0.2500)  4 Sb 2.91, 4 Co 2.91
Co (0.0000, 0.0000, 0.0000)  8 Sc 2.91
Sb (0.5000, 0.5000, 0.5000)  8 Sc 2.91
Sc (0.7500, 0.7500, 0.7500)  4 Co 2.91, 4 Sb 2.91

***

# 3
ScCo4Sb: relaxed, PBE.

Output
- Magnetic moment: 6.03 μB/f.u.
- Density: 7.97 g/cm³
- ΔE_f (raw): -0.17 eV/atom
- Uncorrected energy: -6.65 eV per atom

a b c (Å): 4.9138 4.9138 4.9138
angles (deg): 60.00 60.00 60.00
Last column: nearest neighbours and their distance in Å.
Positions (direct):
Sc (0.0000, 0.0000, 0.0000)  12 Co 2.88, 4 Sb 3.01
Sb (0.7500, 0.7500, 0.7500)  12 Co 2.88, 4 Sc 3.01
Co (0.3747, 0.3747, 0.8758)  6 Co 2.45-2.46
Co (0.8758, 0.3747, 0.3747)  6 Co 2.45-2.46
Co (0.3747, 0.8758, 0.3747)  6 Co 2.45-2.46
Co (0.3747, 0.3747, 0.3747)  6 Co 2.45-2.46

***

# 4
ScCo2Sb: relaxed, PBE.

Output
- Magnetic moment: 0.00 μB/f.u.
- Density: 6.80 g/cm³
- ΔE_f (raw): -0.22 eV/atom
- Uncorrected energy: -6.39 eV per atom

a b c (Å): 5.5841 5.5841 5.5841
angles (deg): 41.66 41.66 41.66
Last column: nearest neighbours and their distance in Å.
Positions (direct):
Co (0.0481, 0.0481, 0.0481)  3 Co 2.29
Sc (0.2723, 0.2723, 0.2723)  6 Co 2.81-2.83, 4 Sb 2.99-3.11
Sb (0.4680, 0.4680, 0.4680)  6 Co 2.65-2.67
Co (0.7116, 0.7116, 0.7116)  3 Co 2.29

***

# 5
Sc2CoSb: relaxed, PBE.

Output
- Magnetic moment: 0.00 μB/f.u.
- Density: 5.73 g/cm³
- ΔE_f (raw): -0.31 eV/atom
- Uncorrected energy: -6.28 eV per atom

a b c (Å): 5.4427 5.4427 5.4427
angles (deg): 46.86 46.86 46.86
Last column: nearest neighbours and their distance in Å.
Positions (direct):
Sc (0.0054, 0.0054, 0.0054)  4 Sb 2.95-3.26, 4 Sc 3.03-3.13
Co (0.4930, 0.4930, 0.4930)  3 Sb 2.59, 3 Sc 2.65
Sc (0.2209, 0.2209, 0.2209)  3 Co 2.65, 3 Sb 2.94
Sb (0.7807, 0.7807, 0.7807)  3 Co 2.59

***

# 6
Sc2CoSb: relaxed, PBE.

Output
- Magnetic moment: 1.98 μB/f.u.
- Density: 6.17 g/cm³
- ΔE_f (raw): -0.14 eV/atom
- Uncorrected energy: -6.11 eV per atom

a b c (Å): 4.6878 4.6878 4.6878
angles (deg): 60.00 60.00 60.00
Last column: nearest neighbours and their distance in Å.
Positions (direct):
Sb (0.2500, 0.2500, 0.2500)  4 Co 2.87, 4 Sc 2.87
Co (0.5000, 0.5000, 0.5000)  4 Sb 2.87, 4 Sc 2.87
Sc (0.7500, 0.7500, 0.7500)  4 Sc 2.87, 4 Co 2.87
Sc (0.0000, 0.0000, 0.0000)  4 Sb 2.87, 4 Sc 2.87

***

# 7
Sc2CoSb: relaxed, PBE.

Output
- Magnetic moment: 1.38 μB/f.u.
- Density: 5.63 g/cm³
- ΔE_f (raw): -0.18 eV/atom
- Uncorrected energy: -6.16 eV per atom

a b c (Å): 3.2243 3.2243 7.6842
angles (deg): 90.00 90.00 90.00
Last column: nearest neighbours and their distance in Å.
Positions (direct):
Co (0.0000, 0.0000, 0.5134)  4 Sb 2.70, 4 Sc 2.79
Sb (0.5000, 0.5000, 0.7011)  4 Co 2.70
Sc (0.5000, 0.5000, 0.3045)  4 Co 2.79, 1 Sb 3.05
Sc (0.0000, 0.0000, 0.9810)  4 Sb 3.13, 8 Sc 3.22-3.37

***

# 8
Sc2CoSb: relaxed, PBE.

Output
- Magnetic moment: 0.53 μB/f.u.
- Density: 5.87 g/cm³
- ΔE_f (raw): -0.43 eV/atom
- Uncorrected energy: -6.40 eV per atom

a b c (Å): 4.4657 7.3886 3.8370
angles (deg): 58.72 90.00 127.17
Last column: nearest neighbours and their distance in Å.
Positions (direct):
Sc (0.0000, 0.0000, 0.0000)  4 Sb 2.94, 4 Co 2.94, 4 Sc 3.16
Co (0.5000, 0.5000, 0.0000)  8 Sc 2.94, 4 Sb 3.16
Sb (0.5000, 0.0000, 0.5000)  8 Sc 2.94, 4 Co 3.16
Sc (0.0000, 0.5000, 0.5000)  4 Co 2.94, 4 Sb 2.94, 4 Sc 3.16

***

# 9
ScCo2Sb: relaxed, PBE.

Output
- Magnetic moment: 2.25 μB/f.u.
- Density: 7.45 g/cm³
- ΔE_f (raw): -0.02 eV/atom
- Uncorrected energy: -6.18 eV per atom

a b c (Å): 4.4761 4.4761 4.4761
angles (deg): 60.00 60.00 60.00
Last column: nearest neighbours and their distance in Å.
Positions (direct):
Co (0.0000, 0.0000, 0.0000)  4 Co 2.74, 4 Sc 2.74
Sc (0.7500, 0.7500, 0.7500)  4 Co 2.74, 4 Sb 2.74
Sb (0.5000, 0.5000, 0.5000)  4 Sc 2.74, 4 Co 2.74
Co (0.2500, 0.2500, 0.2500)  4 Sb 2.74, 4 Co 2.74

***

# 10
ScCo2Sb2: relaxed, PBE.

Output
- Magnetic moment: 1.57 μB/f.u.
- Density: 7.75 g/cm³
- ΔE_f (raw): -0.15 eV/atom
- Uncorrected energy: -5.91 eV per atom
- E above lowest polymorph: 59 meV/atom

a b c (Å): 7.1567 7.1567 3.3990
angles (deg): 90.00 90.00 90.00
Last column: nearest neighbours and their distance in Å.
Positions (direct):
Co (0.6214, 0.1214, 0.0000)  1 Co 2.46, 6 Sb 2.69-2.73
Sb (0.6724, 0.8276, 0.5000)  6 Co 2.69-2.73
Sc (0.5000, 0.5000, 0.0000)  4 Co 2.85, 8 Sb 3.15
Sb (0.1724, 0.6724, 0.5000)  6 Co 2.69-2.73
Co (0.1214, 0.3786, 0.0000)  1 Co 2.46, 6 Sb 2.69-2.73
Sc (0.0000, 0.0000, 0.0000)  4 Co 2.85, 8 Sb 3.15
Co (0.3786, 0.8786, 0.0000)  1 Co 2.46, 6 Sb 2.69-2.73
Sb (0.8276, 0.3276, 0.5000)  6 Co 2.69-2.73
Sb (0.3276, 0.1724, 0.5000)  6 Co 2.69-2.73
Co (0.8786, 0.6214, 0.0000)  1 Co 2.46, 6 Sb 2.69-2.73

***

# 11
ScCo2Sb: relaxed, PBE.

Output
- Magnetic moment: 1.10 μB/f.u.
- Density: 7.78 g/cm³
- ΔE_f (raw): -0.30 eV/atom
- Uncorrected energy: -6.47 eV per atom

a b c (Å): 4.2082 4.2082 3.4282
angles (deg): 90.00 90.00 90.00
Last column: nearest neighbours and their distance in Å.
Positions (direct):
Co (0.0000, 0.0000, 0.0000)  4 Sb 2.71, 4 Sc 2.71, 4 Co 2.98
Sc (0.0000, 0.5000, 0.5000)  8 Co 2.71, 4 Sb 2.98
Co (0.5000, 0.5000, 0.0000)  4 Sb 2.71, 4 Sc 2.71, 4 Co 2.98
Sb (0.5000, 0.0000, 0.5000)  8 Co 2.71, 4 Sc 2.98

***

# 12
ScCo2Sb: relaxed, PBE.

Output
- Magnetic moment: 0.86 μB/f.u.
- Density: 7.06 g/cm³
- ΔE_f (raw): 0.19 eV/atom
- Uncorrected energy: -5.98 eV per atom

a b c (Å): 7.8666 7.8666 7.8666
angles (deg): 23.31 23.31 23.31
Last column: nearest neighbours and their distance in Å.
Positions (direct):
Co (0.0030, 0.0030, 0.0030)  3 Sb 2.60, 3 Sc 2.70
Sb (0.7500, 0.7500, 0.7500)  6 Co 2.60
Sc (0.2500, 0.2500, 0.2500)  6 Co 2.70
Co (0.4970, 0.4970, 0.4970)  3 Sb 2.60, 3 Sc 2.70

***

# 13
ScCo2Sb: relaxed, PBE.

Output
- Magnetic moment: 0.00 μB/f.u.
- Density: 7.41 g/cm³
- ΔE_f (raw): -0.25 eV/atom
- Uncorrected energy: -6.41 eV per atom

a b c (Å): 3.9797 3.5679 4.8308
angles (deg): 68.33 90.00 90.00
Last column: nearest neighbours and their distance in Å.
Positions (direct):
Co (0.0000, 0.1987, 0.9777)  2 Co 2.39, 3 Sb 2.54-2.64
Sb (0.0000, 0.4819, 0.4113)  7 Co 2.54-2.74
Sc (0.5000, 0.7688, 0.8371)  7 Co 2.53-2.75
Co (0.5000, 0.0506, 0.2738)  2 Co 2.39, 3 Sc 2.53-2.65

***

# 14
ScCo2Sb: relaxed, PBE.

Output
- Magnetic moment: 0.05 μB/f.u.
- Density: 7.47 g/cm³
- ΔE_f (raw): -0.11 eV/atom
- Uncorrected energy: -6.27 eV per atom

a b c (Å): 3.4585 3.4585 5.2875
angles (deg): 90.00 90.00 90.00
Last column: nearest neighbours and their distance in Å.
Positions (direct):
Co (0.5000, 0.5000, 0.2786)  2 Sc 2.54-2.75, 4 Sb 2.61
Co (0.0000, 0.0000, 0.9706)  2 Sb 2.55-2.74, 4 Sc 2.61
Sb (0.0000, 0.0000, 0.4526)  6 Co 2.55-2.74
Sc (0.5000, 0.5000, 0.7981)  6 Co 2.54-2.75

***

# 15
Sc2CoSb: relaxed, PBE.

Output
- Magnetic moment: 0.00 μB/f.u.
- Density: 5.54 g/cm³
- ΔE_f (raw): -0.23 eV/atom
- Uncorrected energy: -6.20 eV per atom

a b c (Å): 7.3850 7.3850 6.0098
angles (deg): 52.09 52.09 90.00
Last column: nearest neighbours and their distance in Å.
Positions (direct):
Sb (0.7500, 0.2500, 0.5000)  2 Co 2.97, 8 Sc 3.03-3.22
Sc (0.3750, 0.4346, 0.7500)  2 Co 2.44
Sc (0.5654, 0.1250, 0.2500)  2 Co 2.44
Co (0.5000, 0.5000, 0.0000)  4 Sc 2.44
Sc (0.1846, 0.6250, 0.2500)  2 Co 2.44
Sb (0.0000, 0.0000, 0.0000)  2 Co 2.97, 8 Sc 3.03-3.22
Sc (0.8750, 0.8154, 0.7500)  2 Co 2.44
Co (0.2500, 0.7500, 0.5000)  4 Sc 2.44

***

# 16
ScCo2Sb: relaxed, PBE.

Output
- Magnetic moment: 2.19 μB/f.u.
- Density: 7.06 g/cm³
- ΔE_f (raw): -0.03 eV/atom
- Uncorrected energy: -6.20 eV per atom

a b c (Å): 3.1813 3.1813 6.6097
angles (deg): 90.00 90.00 89.99
Last column: nearest neighbours and their distance in Å.
Positions (direct):
Sb (0.0000, 0.0000, 0.4502)  5 Co 2.67-2.78
Sc (0.5000, 0.5000, 0.8020)  5 Co 2.64-2.77
Co (0.5000, 0.5000, 0.2021)  4 Co 2.48, 1 Sc 2.64
Co (0.0000, 0.0000, 0.0457)  4 Co 2.48, 1 Sb 2.67, 4 Sc 2.77

***

# 17
ScCo2Sb2: relaxed, PBE.

Output
- Magnetic moment: 1.37 μB/f.u.
- Density: 7.23 g/cm³
- ΔE_f (raw): -0.21 eV/atom
- Uncorrected energy: -5.97 eV per atom
- E above lowest polymorph: 0 meV/atom

a b c (Å): 4.1272 4.1272 6.2058
angles (deg): 70.58 70.58 90.00
Last column: nearest neighbours and their distance in Å.
Positions (direct):
Co (0.2500, 0.7500, 0.5000)  4 Sb 2.45
Sc (0.0000, 0.0000, 0.0000)  8 Sb 3.24, 8 Co 3.43
Sb (0.6286, 0.6286, 0.7428)  4 Co 2.45
Sb (0.3714, 0.3714, 0.2572)  4 Co 2.45
Co (0.7500, 0.2500, 0.5000)  4 Sb 2.45

***

# 18
ScCo2Sb: relaxed, PBE.

Output
- Magnetic moment: 1.68 μB/f.u.
- Density: 7.28 g/cm³
- ΔE_f (raw): 0.06 eV/atom
- Uncorrected energy: -6.10 eV per atom

a b c (Å): 5.0673 5.1133 3.0563
angles (deg): 86.18 74.46 118.98
Last column: nearest neighbours and their distance in Å.
Positions (direct):
Sc (0.5000, 0.0000, 0.5000)  4 Co 2.58, 2 Sb 2.89
Sb (0.5000, 0.5000, 0.0000)  4 Co 2.58, 2 Sc 2.89
Co (0.0000, 0.0000, 0.0000)  2 Sc 2.58, 2 Sb 2.58, 2 Co 2.89
Co (0.0000, 0.5000, 0.5000)  2 Sb 2.58, 2 Sc 2.58, 2 Co 2.89

***

# 19
Sc2CoSb: relaxed, PBE.

Output
- Magnetic moment: 0.00 μB/f.u.
- Density: 5.66 g/cm³
- ΔE_f (raw): -0.54 eV/atom
- Uncorrected energy: -6.51 eV per atom

a b c (Å): 4.0539 3.7331 5.5710
angles (deg): 70.43 90.00 90.00
Last column: nearest neighbours and their distance in Å.
Positions (direct):
Sb (0.5000, 0.5529, 0.7690)  2 Co 2.66, 6 Sc 2.92-2.93
Sc (0.5000, 0.2687, 0.3378)  4 Co 2.81, 3 Sb 2.93-2.99
Co (0.0000, 0.7170, 0.4415)  5 Sc 2.57-2.81, 2 Sb 2.66
Sc (0.0000, 0.9614, 0.9517)  1 Co 2.57

***

# 20
ScCoSb3: relaxed, PBE.

Output
- Magnetic moment: 0.33 μB/f.u.
- Density: 6.31 g/cm³
- ΔE_f (raw): 0.19 eV/atom
- Uncorrected energy: -4.97 eV per atom
- E above lowest polymorph: 0 meV/atom

a b c (Å): 4.9782 4.9782 4.9782
angles (deg): 90.00 90.00 90.00
Last column: nearest neighbours and their distance in Å.
Positions (direct):
Sb (0.5000, 0.0000, 0.0000)  2 Co 2.49
Sb (0.0000, 0.5000, 0.0000)  2 Co 2.49
Sb (0.0000, 0.0000, 0.5000)  2 Co 2.49
Sc (0.5000, 0.5000, 0.5000)  12 Sb 3.52
Co (0.0000, 0.0000, 0.0000)  6 Sb 2.49